# PrSmHgI

A relaxed structure of PrSmHgI (PBE, Alexandria via LeMat-Bulk).

abc: 5.493 5.493 5.493
angles: 60.00 60.00 60.00
Sites, in units of the cell vectors:
1 Sm 0.750 0.750 0.750
2 I 0.000 0.000 0.000
3 Pr 0.250 0.250 0.250
4 Hg 0.500 0.500 0.500

## Properties
Energy, eV per atom: -3.34
Mass density, g cm⁻³: 8.8
Raw formation energy, kJ/mol of formula units: -195